Compound: TbPmNdSm2
Source: Alexandria
Functional: PBE
Structure: relaxed

Unit cell a=6.664 b=8.341 c=6.264 alpha=91.84 beta=90.00 gamma=90.00
Fractional coordinates of all 10 atoms:
Sm 0.693 0.308 0.739
Sm 0.693 0.692 0.761
Sm 0.307 0.308 0.239
Sm 0.307 0.692 0.261
Tb 0.163 0.500 0.750
Tb 0.837 0.500 0.250
Nd 0.000 0.000 0.500
Nd 0.000 0.000 0.000
Pm 0.571 0.000 0.250
Pm 0.429 0.000 0.750

Values from the calculation:
Energy in eV per atom: -4.45
Crystal system: monoclinic
SG: P2/c, No. 13